[1]
A relaxed structure of NdYMgMn, computed with PBE-GGA.

Results
DOS at the Fermi energy (states/eV/atom): 1.26

Lattice parameters (Å, degrees): 5.276 5.276 5.276 60.00 60.00 60.00
Fractional coordinates of all 4 atoms:
Nd 0.000 0.000 0.000
Y 0.500 0.500 0.500
Mg 0.250 0.250 0.250
Mn 0.750 0.750 0.750


[2]
A relaxed structure of MgMnNi, computed with PBE-GGA.

Results
Energy above the most stable polymorph in this dataset (meV per atom): 76
DOS at the Fermi energy (states/eV/atom): 0.66

Lattice parameters (Å, degrees): 4.255 4.255 2.752 90.00 90.00 120.00
Fractional coordinates of all 3 atoms:
Mg 0.000 0.000 0.000
Mn 0.333 0.667 0.425
Ni 0.667 0.333 0.621


[3]
A relaxed structure of Mg2MnNi, computed with PBE-GGA.

Results
Energy above the most stable polymorph in this dataset (meV per atom): 192
DOS at the Fermi energy (states/eV/atom): 0.75

Lattice parameters (Å, degrees): 9.017 9.017 9.017 18.51 18.51 18.51
Fractional coordinates of all 4 atoms:
Mg 0.243 0.243 0.243
Mg 0.757 0.757 0.757
Mn 0.000 0.000 0.000
Ni 0.500 0.500 0.500


[4]
A relaxed structure of MgMn4Ni, computed with PBE-GGA.

Results
DOS at the Fermi energy (states/eV/atom): 1.53

Lattice parameters (Å, degrees): 4.718 4.718 4.718 60.00 60.00 60.00
Fractional coordinates of all 6 atoms:
Mg 0.000 0.000 0.000
Mn 0.375 0.375 0.375
Mn 0.375 0.375 0.875
Mn 0.375 0.875 0.375
Mn 0.875 0.375 0.375
Ni 0.750 0.750 0.750


[5]
A relaxed structure of Mg2MnNi, computed with PBE-GGA.

Results
Energy above the most stable polymorph in this dataset (meV per atom): 88
DOS at the Fermi energy (states/eV/atom): 0.60

Lattice parameters (Å, degrees): 4.006 4.006 3.880 90.00 90.00 90.00
Fractional coordinates of all 4 atoms:
Mg 0.000 0.500 0.000
Mg 0.500 0.000 0.000
Mn 0.000 0.000 0.500
Ni 0.500 0.500 0.500


[6]
A relaxed structure of Mg2MnNi, computed with PBE-GGA.

Results
Energy above the most stable polymorph in this dataset (meV per atom): 70
DOS at the Fermi energy (states/eV/atom): 0.61

Lattice parameters (Å, degrees): 4.430 4.430 4.430 60.00 60.00 60.00
Fractional coordinates of all 4 atoms:
Mg 0.000 0.000 0.000
Mg 0.250 0.250 0.250
Mn 0.500 0.500 0.500
Ni 0.750 0.750 0.750


[7]
A relaxed structure of Mg2MnNi, computed with PBE-GGA.

Results
Energy above the most stable polymorph in this dataset (meV per atom): 103
DOS at the Fermi energy (states/eV/atom): 0.76

Lattice parameters (Å, degrees): 2.866 4.246 5.481 90.00 104.83 90.00
Fractional coordinates of all 4 atoms:
Mg 0.000 0.000 0.000
Mg 0.331 0.500 0.668
Mn 0.607 0.500 0.219
Ni 0.727 0.000 0.455


[8]
A relaxed structure of MgMnNi, computed with PBE-GGA.

Results
Energy above the most stable polymorph in this dataset (meV per atom): 0
DOS at the Fermi energy (states/eV/atom): 0.66

Lattice parameters (Å, degrees): 5.195 5.195 5.195 145.61 145.61 49.43
Fractional coordinates of all 3 atoms:
Mg 0.000 0.000 0.000
Mn 0.299 0.299 0.000
Ni 0.673 0.673 0.000


[9]
A relaxed structure of MgMnNi5, computed with PBE-GGA.

Results
DOS at the Fermi energy (states/eV/atom): 1.70

Lattice parameters (Å, degrees): 3.473 3.473 7.676 90.00 90.00 90.00
Fractional coordinates of all 7 atoms:
Mg 0.000 0.000 0.000
Mn 0.500 0.500 0.500
Ni 0.000 0.000 0.500
Ni 0.000 0.500 0.268
Ni 0.000 0.500 0.732
Ni 0.500 0.000 0.268
Ni 0.500 0.000 0.732


[10]
A relaxed structure of Mg2MnNi, computed with PBE-GGA.

Results
Energy above the most stable polymorph in this dataset (meV per atom): 126
DOS at the Fermi energy (states/eV/atom): 0.71

Lattice parameters (Å, degrees): 4.650 4.650 2.953 90.00 90.00 103.38
Fractional coordinates of all 4 atoms:
Mg 0.000 0.500 0.000
Mg 0.500 0.000 0.000
Mn 0.000 0.000 0.500
Ni 0.500 0.500 0.500


no.,formation enthalpy at 0 K (eV per atom)
1,0.1033
2,0.1009
3,0.2040
4,0.2889
5,0.1004
6,0.0819
7,0.1149
8,0.0249
9,0.0731
10,0.1378